[1]
Compound: Mg2CdCo
Source: Alexandria
Functional: PBE-GGA
Structure: optimized geometry

Cell lengths 5.5085, 5.5085, 4.5727 Å; angles 65.70, 65.70, 33.90 degrees
Positions (direct):
Mg1 0.2469 0.2469 0.2537
Mg2 0.0328 0.0328 0.9667
Co1 0.7482 0.7482 0.7527
Cd1 0.4720 0.4720 0.5269

Computed properties:
The value obtained for the density of states at the Fermi level is 1.82 states/eV/f.u. The energy of formation from the pure elements is 83 meV/atom. The calculation puts the total magnetization at 0.00 μB/cell. The symmetry is Cm (8).

[2]
Compound: Re2WCl
Source: Alexandria
Functional: PBE-GGA
Structure: optimized geometry

Cell lengths 5.2782, 5.2782, 5.2782 Å; angles 148.26, 129.27, 61.09 degrees
Positions (direct):
Re1 0.0194 0.0194 0.0000
Cl1 0.2500 0.7500 0.5000
Re2 0.4806 0.4806 0.0000
W1 0.7500 0.2500 0.5000

Computed properties:
For the energy relative to the elements, uncorrected, the calculation gives 0.771 eV per atom. The value obtained for the density of states at the Fermi level is 2.41 states/eV/f.u. The calculation puts the total magnetization at 0.00 μB/cell. The symmetry is Immm (71).

[3]
Compound: Ca2NbGe2
Source: Alexandria
Functional: PBE-GGA
Structure: optimized geometry

Cell lengths 7.1375, 7.1375, 4.5489 Å; angles 90.00, 90.00, 90.00 degrees
Positions (direct):
Ca1 0.3271 0.1729 0.5000
Ca2 0.8271 0.3271 0.5000
Ca3 0.6729 0.8271 0.5000
Ge1 0.6344 0.1344 0.0000
Ca4 0.1729 0.6729 0.5000
Nb1 0.5000 0.5000 0.0000
Ge2 0.1344 0.3656 0.0000
Ge3 0.3656 0.8656 0.0000
Ge4 0.8656 0.6344 0.0000
Nb2 0.0000 0.0000 0.0000

Computed properties:
The value obtained for the density of states at the Fermi level is 4.54 states/eV/f.u. The energy of formation from the pure elements is -277 meV/atom. The calculation puts the total magnetization at 2.81 μB/cell. The symmetry is P4/mbm (127).

[4]
Compound: Li2LaThGe2
Source: Alexandria
Functional: PBE-GGA
Structure: optimized geometry

Cell lengths 4.5461, 4.5461, 7.5478 Å; angles 90.00, 90.00, 120.00 degrees
Positions (direct):
Li1 0.3333 0.6667 0.7449
Ge1 0.3333 0.6667 0.2645
Li2 0.6667 0.3333 0.2551
Th1 0.0000 0.0000 0.5000
Ge2 0.6667 0.3333 0.7355
La1 0.0000 0.0000 0.0000

Computed properties:
The value obtained for the density of states at the Fermi level is 2.89 states/eV/f.u. The energy of formation from the pure elements is -619 meV/atom. The calculation puts the total magnetization at 0.00 μB/cell. The symmetry is P-3m1 (164).

[5]
Compound: SrTmOs2O8
Source: Alexandria
Functional: PBE-GGA
Structure: optimized geometry

Cell lengths 5.9021, 5.9021, 7.1221 Å; angles 90.00, 90.00, 120.00 degrees
Positions (direct):
O1 0.3333 0.6667 0.0359
O2 0.6667 0.3333 0.9641
O3 0.1620 0.3222 0.7064
O4 0.8380 0.6778 0.2936
O5 0.6778 0.8398 0.7064
O6 0.3222 0.1602 0.2936
O7 0.8398 0.1620 0.2936
Sr1 0.0000 0.0000 0.0000
Os1 0.6667 0.3333 0.2164
Tm1 0.0000 0.0000 0.5000
O8 0.1602 0.8380 0.7064
Os2 0.3333 0.6667 0.7836

Computed properties:
For the energy relative to the elements, uncorrected, the calculation gives -1.667 eV per atom. The value obtained for the density of states at the Fermi level is 5.52 states/eV/f.u. The calculation puts the total magnetization at 3.01 μB/cell. The symmetry is P-3 (147).

[6]
Compound: InTcP2Cl
Source: Alexandria
Functional: PBE-GGA
Structure: optimized geometry

Cell lengths 5.2619, 5.2619, 5.2217 Å; angles 90.00, 90.00, 90.00 degrees
Positions (direct):
Tc1 0.5000 0.5000 0.5000
Cl1 0.0000 0.0000 0.5000
P1 0.5000 0.0000 0.0000
In1 0.0000 0.0000 0.0000
P2 0.0000 0.5000 0.0000

Computed properties:
For the energy relative to the elements, uncorrected, the calculation gives 1.315 eV per atom. The value obtained for the density of states at the Fermi level is 3.16 states/eV/f.u. The calculation puts the total magnetization at 3.43 μB/cell. The symmetry is P4/mmm (123).

[7]
Compound: Ca2InH6
Source: Alexandria
Functional: PBE-GGA
Structure: optimized geometry

Cell lengths 5.3015, 5.3015, 5.3015 Å; angles 60.00, 60.00, 60.00 degrees
Positions (direct):
H1 0.2642 0.7358 0.2642
H2 0.2642 0.2642 0.7358
In1 0.0000 0.0000 0.0000
H3 0.7358 0.7358 0.2642
Ca1 0.7500 0.7500 0.7500
Ca2 0.2500 0.2500 0.2500
H4 0.2642 0.7358 0.7358
H5 0.7358 0.2642 0.7358
H6 0.7358 0.2642 0.2642

Computed properties:
The value obtained for the density of states at the Fermi level is 2.94 states/eV/f.u. The total DFT energy (no corrections) comes out at -3.004 eV per atom. The calculation puts the total magnetization at 0.00 μB/cell. The symmetry is Fm-3m (225).

[8]
Compound: Cr4HgOs
Source: Alexandria
Functional: PBE-GGA
Structure: optimized geometry

Cell lengths 4.8355, 4.8355, 4.8355 Å; angles 60.00, 60.00, 60.00 degrees
Positions (direct):
Cr1 0.3777 0.8670 0.3777
Os1 0.0000 0.0000 0.0000
Cr2 0.3777 0.3777 0.8670
Cr3 0.3777 0.3777 0.3777
Cr4 0.8670 0.3777 0.3777
Hg1 0.7500 0.7500 0.7500

Computed properties:
The value obtained for the density of states at the Fermi level is 7.40 states/eV/f.u. The energy of formation from the pure elements is 363 meV/atom. The calculation puts the total magnetization at 0.00 μB/cell. The symmetry is F-43m (216).